1.
SiMoBr | GGA-PBE | relaxed

## Properties
E_form (uncorrected): 64.1 kJ/mol of atoms
ΔE to the lowest computed polymorph: 924 meV per atom

Cell lengths 4.494, 4.494, 2.929 Å; angles 90.00, 90.00, 120.00 degrees
Positions (direct):
Br 0.000 0.000 0.167
Mo 0.667 0.333 0.167
Si 0.333 0.667 0.665


2.
KCu2NiBr6 | GGA-PBE | relaxed

## Properties
E_form (uncorrected): -53.7 kJ/mol of atoms

Cell lengths 7.859, 9.489, 9.489 Å; angles 83.52, 71.82, 71.82 degrees
Last column: magnetic moment on the atom in μB.
Positions (direct):
K 0.250 0.827 0.173  0.00
K 0.750 0.173 0.827  0.00
Cu 0.323 0.742 0.638  0.29
Cu 0.177 0.362 0.258  0.29
Cu 0.677 0.258 0.362  0.29
Cu 0.823 0.638 0.742  0.29
Ni 0.250 0.181 0.819  1.35
Ni 0.750 0.819 0.181  1.35
Br 0.185 0.954 0.816  0.15
Br 0.315 0.184 0.046  0.15
Br 0.815 0.046 0.184  0.15
Br 0.685 0.816 0.954  0.15
Br 0.492 0.838 0.395  0.16
Br 0.008 0.605 0.162  0.16
Br 0.508 0.162 0.605  0.16
Br 0.992 0.395 0.838  0.16
Br 0.054 0.737 0.570  0.08
Br 0.446 0.430 0.263  0.08
Br 0.946 0.263 0.430  0.08
Br 0.554 0.570 0.737  0.08


3.
PuCo | GGA-PBE | relaxed

## Properties
energy of formation: 0.142 eV/atom

Cell lengths 3.779, 3.779, 3.779 Å; angles 60.00, 60.00, 60.00 degrees
Last column: magnetic moment on the atom in μB.
Positions (direct):
Co 0.000 0.000 0.000  -0.78
Pu 0.500 0.500 0.500  4.95


4.
AcSnS3 | GGA-PBE | relaxed

## Properties
E_form (uncorrected): -105.9 kJ/mol of atoms
ΔE to the lowest computed polymorph: 163 meV per atom

Cell lengths 5.185, 9.459, 7.985 Å; angles 126.32, 108.95, 90.00 degrees
Positions (direct):
Ac 0.000 0.500 0.000
Ac 0.500 0.000 0.000
Sn 0.250 0.260 0.500
Sn 0.750 0.740 0.500
S 0.076 0.228 0.152
S 0.424 0.576 0.848
S 0.576 0.424 0.152
S 0.924 0.772 0.848
S 0.250 0.835 0.500
S 0.750 0.165 0.500


5.
TcNi2SnC | GGA-PBE | relaxed

## Properties
energy of formation: 0.030 eV/atom

Cell lengths 3.935, 3.935, 4.068 Å; angles 90.00, 90.00, 90.00 degrees
Positions (direct):
Ni 0.000 0.500 0.000
Ni 0.500 0.000 0.000
C 0.000 0.000 0.000
Sn 0.500 0.500 0.500
Tc 0.000 0.000 0.500


6.
Li2NbTcN4 | GGA-PBE | relaxed

## Properties
E_form (uncorrected): -51.0 kJ/mol of atoms

Cell lengths 4.299, 6.133, 6.945 Å; angles 90.00, 90.00, 90.00 degrees
Positions (direct):
Li 0.437 0.346 0.247
Li 0.437 0.346 0.753
Li 0.937 0.654 0.747
Li 0.937 0.654 0.253
Nb 0.938 0.159 0.500
Nb 0.438 0.841 0.000
Tc 0.437 0.837 0.500
Tc 0.937 0.163 0.000
N 0.437 0.155 0.000
N 0.937 0.845 0.500
N 0.437 0.159 0.500
N 0.937 0.841 0.000
N 0.437 0.693 0.737
N 0.937 0.307 0.237
N 0.937 0.307 0.763
N 0.437 0.693 0.263